1.
DFT (PBE) results for a relaxed LaCd2Au crystal.

a = 4.3330 Å, b = 4.3330 Å, c = 23.1610 Å
α = 90.00°, β = 90.00°, γ = 90.00°
Space group I-42d (No. 122)
Unique sites:
La (0.0000, 0.0000, 0.0000) [4 per cell]
Cd (0.2268, 0.2500, 0.6250) [8 per cell]
Au (0.0000, 0.0000, 0.5000) [4 per cell]

E_tot: -2.764 eV/atom
ΔE_f: -0.25 eV per atom
Crystal system: tetragonal
Density: 8.56 g cm⁻³


2.
DFT (PBE) results for a relaxed AcLa2HoSe5 crystal.

a = 5.1448 Å, b = 5.1448 Å, c = 11.3686 Å
α = 90.00°, β = 90.00°, γ = 90.00°
Space group P4/mmm (No. 123)
Unique sites:
Ac (0.0000, 0.0000, 0.0000) [1 per cell]
La (0.5000, 0.5000, 0.3332) [2 per cell]
Ho (0.0000, 0.0000, 0.5000) [1 per cell]
Se (0.0000, 0.0000, 0.2565) [2 per cell]
Se (0.0000, 0.5000, 0.5000) [2 per cell]
Se (0.5000, 0.5000, 0.0000) [1 per cell]

E_tot: -5.510 eV/atom
Crystal system: tetragonal
Density: 5.87 g cm⁻³


3.
DFT (PBE) results for a relaxed ErTh14Sc crystal.

a = 11.5152 Å, b = 7.1451 Å, c = 12.3595 Å
α = 90.00°, β = 90.00°, γ = 90.00°
Space group Amm2 (No. 38)
Unique sites:
Er (0.0000, 0.0000, 0.0000) [2 per cell]
Th (0.0000, 0.2485, 0.7549) [4 per cell]
Th (0.2471, 0.2488, 0.5847) [8 per cell]
Th (0.2484, 0.0000, 0.3362) [4 per cell]
Th (0.2510, 0.0000, 0.8355) [4 per cell]
Th (0.5000, 0.0000, 0.1674) [2 per cell]
Th (0.5000, 0.0000, 0.6669) [2 per cell]
Th (0.5000, 0.2496, 0.4179) [4 per cell]
Sc (0.0000, 0.0000, 0.4999) [2 per cell]

E_tot: -7.138 eV/atom
ΔE_f: 0.04 eV per atom
Crystal system: orthorhombic
Density: 11.30 g cm⁻³


4.
DFT (PBE) results for a relaxed Cd2SiC crystal.

a = 6.1743 Å, b = 6.1743 Å, c = 8.8067 Å
α = 90.00°, β = 90.00°, γ = 90.00°
Space group I-42d (No. 122)
Unique sites:
Cd (0.1808, 0.2500, 0.1250) [8 per cell]
Si (0.0000, 0.0000, 0.5000) [4 per cell]
C (0.0000, 0.0000, 0.0000) [4 per cell]

E_tot: -2.786 eV/atom
ΔE to the lowest computed polymorph: 0 meV per atom
Crystal system: tetragonal
Density: 5.24 g cm⁻³


5.
DFT (PBE) results for a relaxed SrPu3Pt2 crystal.

a = 4.7966 Å, b = 8.7011 Å, c = 7.5062 Å
α = 90.00°, β = 90.00°, γ = 90.00°
Space group Pmc2_1 (No. 26)
Unique sites:
Sr (0.0000, 0.0732, 0.0000) [2 per cell]
Pu (0.0000, 0.3285, 0.6300) [2 per cell]
Pu (0.5000, 0.1907, 0.3315) [2 per cell]
Pu (0.5000, 0.4278, 0.9681) [2 per cell]
Pt (0.0000, 0.3674, 0.2514) [2 per cell]
Pt (0.5000, 0.1519, 0.7184) [2 per cell]

E_tot: -9.913 eV/atom
ΔE_f: -0.45 eV per atom
Crystal system: orthorhombic
Density: 12.83 g cm⁻³


6.
DFT (PBE) results for a relaxed RbNa2PaO4 crystal.

a = 6.1904 Å, b = 6.1904 Å, c = 7.8826 Å
α = 90.00°, β = 90.00°, γ = 90.00°
Space group I-42m (No. 121)
Unique sites:
Rb (0.0000, 0.0000, 0.0000) [2 per cell]
Na (0.0000, 0.5000, 0.2500) [4 per cell]
Pa (0.0000, 0.0000, 0.5000) [2 per cell]
O (0.1965, 0.1965, 0.6468) [8 per cell]

E_tot: -6.421 eV/atom
Crystal system: tetragonal
Density: 4.69 g cm⁻³


7.
DFT (PBE) results for a relaxed RbRhS2 crystal.

a = 7.2924 Å, b = 7.2924 Å, c = 7.7651 Å
α = 90.00°, β = 90.00°, γ = 90.00°
Space group I-42d (No. 122)
Unique sites:
Rb (0.0000, 0.0000, 0.0000) [4 per cell]
Rh (0.0000, 0.0000, 0.5000) [4 per cell]
S (0.1268, 0.2500, 0.6250) [8 per cell]

E_tot: -4.770 eV/atom
Crystal system: tetragonal
Density: 4.06 g cm⁻³


8.
DFT (PBE) results for a relaxed Sc2CuW crystal.

a = 4.0111 Å, b = 4.0111 Å, c = 8.8409 Å
α = 90.00°, β = 90.00°, γ = 90.00°
Space group I-4m2 (No. 119)
Unique sites:
Sc (0.0000, 0.0000, 0.0000) [2 per cell]
Sc (0.0000, 0.5000, 0.2500) [2 per cell]
Cu (0.0000, 0.0000, 0.5000) [2 per cell]
W (0.0000, 0.5000, 0.7500) [2 per cell]

E_tot: -7.185 eV/atom
ΔE_f: 0.24 eV per atom
ΔE to the lowest computed polymorph: 177 meV per atom
Crystal system: tetragonal
Density: 7.88 g cm⁻³


9.
DFT (PBE) results for a relaxed Ga6CuTc2 crystal.

a = 5.2796 Å, b = 5.2796 Å, c = 18.3560 Å
α = 90.00°, β = 90.00°, γ = 120.00°
Space group R3m (No. 160, hexagonal axes)
Unique sites:
Ga (0.1698, 0.3395, 0.0000) [9 per cell]
Ga (0.1734, 0.3469, 0.2035) [9 per cell]
Cu (0.0000, 0.0000, 0.1027) [3 per cell]
Tc (0.0000, 0.0000, 0.7126) [3 per cell]
Tc (0.0000, 0.0000, 0.8397) [3 per cell]

E_tot: -4.657 eV/atom
ΔE_f: 0.12 eV per atom
Crystal system: trigonal
Density: 7.62 g cm⁻³


10.
DFT (PBE) results for a relaxed La2ScMo crystal.

a = 5.2858 Å, b = 5.2858 Å, c = 7.4007 Å
α = 90.00°, β = 90.00°, γ = 90.00°
Space group I4/mmm (No. 139)
Unique sites:
La (0.0000, 0.5000, 0.2500) [4 per cell]
Sc (0.0000, 0.0000, 0.0000) [2 per cell]
Mo (0.0000, 0.0000, 0.5000) [2 per cell]

E_tot: -6.359 eV/atom
ΔE_f: 0.40 eV per atom
ΔE to the lowest computed polymorph: 147 meV per atom
Crystal system: tetragonal
Density: 6.73 g cm⁻³


11.
DFT (PBE) results for a relaxed CaPm2Bi crystal.

a = 7.9801 Å, b = 7.9801 Å, c = 7.9801 Å
α = 90.00°, β = 90.00°, γ = 90.00°
Space group Fm-3m (No. 225)
Unique sites:
Ca (0.0000, 0.0000, 0.0000) [4 per cell]
Pm (0.2500, 0.2500, 0.2500) [8 per cell]
Bi (0.0000, 0.0000, 0.5000) [4 per cell]

E_tot: -4.070 eV/atom
ΔE_f: -0.22 eV per atom
ΔE to the lowest computed polymorph: 249 meV per atom
Crystal system: cubic
Density: 7.05 g cm⁻³


12.
DFT (PBE) results for a relaxed Ca8TlPt2 crystal.

a = 9.1418 Å, b = 13.4486 Å, c = 5.7558 Å
α = 90.00°, β = 103.54°, γ = 90.00°
Space group Cm (No. 8)
Unique sites:
Ca (0.0000, 0.0000, 0.0000) [2 per cell]
Ca (0.0756, 0.3664, 0.7850) [4 per cell]
Ca (0.1843, 0.1335, 0.6206) [4 per cell]
Ca (0.2595, 0.5000, 0.4053) [2 per cell]
Ca (0.3800, 0.2455, 0.2028) [4 per cell]
Tl (0.3796, 0.0000, 0.2036) [2 per cell]
Pt (0.3799, 0.3157, 0.7027) [4 per cell]

E_tot: -3.280 eV/atom
ΔE_f: -0.51 eV per atom
Crystal system: monoclinic
Density: 4.42 g cm⁻³


Among the records above, which one has the lowest density? RbRhS2


Which value of E_tot does entry 6 give? -6.421 eV/atom